Record 1
12
Lattice="-3.301 -0.433 0.528 -1.501 -7.193 -4.523 0.869 -8.865 8.922" Properties=species:S:1:pos:R:3 comment="Tm3ThSc2 (PBE-GGA, relaxed)" space_group="No. 12" e_form_mev_per_atom=142 pbc="T T T"
Th -1.602 -9.380 3.813
Th -2.331 -7.111 1.114
Sc -2.656 -11.640 6.130
Sc -1.940 -6.121 4.374
Sc -1.994 -10.370 0.553
Sc -1.277 -4.850 -1.203
Tm -1.552 -1.706 -0.340
Tm 0.357 -8.007 6.424
Tm -0.870 -4.070 1.986
Tm -2.382 -14.785 5.267
Tm -3.064 -12.421 2.941
Tm -4.290 -8.484 -1.497

=====

Record 2
5
Lattice="4.247 0.000 0.000 0.000 4.247 0.000 2.124 2.124 7.947" Properties=species:S:1:pos:R:3 comment="Hg2As2Pb (PBE-GGA, relaxed)" space_group="No. 139" e_form_mev_per_atom=139 pbc="T T T"
As 2.124 2.124 1.181
As 4.247 4.247 6.766
Hg 4.247 2.124 3.973
Hg 2.124 4.247 3.973
Pb 0.000 0.000 0.000

=====

Record 3
5
Lattice="-0.245 -2.031 3.382 -0.551 -3.338 -2.044 7.213 -3.850 0.521" Properties=species:S:1:pos:R:3 comment="Y2CdPd2 (PBE-GGA, relaxed)" space_group="No. 139" e_form_mev_per_atom=-500 pbc="T T T"
Y 1.377 -2.956 0.634
Y 5.040 -6.263 1.224
Pd 3.132 -4.936 -0.427
Pd 3.285 -4.283 2.286
Cd 0.000 0.000 0.000

=====

Record 4
4
Lattice="-0.535 2.124 -4.732 -4.411 -0.703 -2.691 -3.284 3.988 -0.712" Properties=species:S:1:pos:R:3 comment="AcGaPtPb (PBE-GGA, relaxed)" space_group="No. 216" e_form_mev_per_atom=-517 pbc="T T T"
Pb -4.115 2.704 -4.067
Ga -6.172 4.057 -6.101
Ac 0.000 0.000 0.000
Pt -2.057 1.352 -2.034

=====

Record 5
6
Lattice="6.145 0.000 0.000 3.073 5.322 0.000 3.073 1.774 5.017" Properties=species:S:1:pos:R:3 comment="TbLuPu4 (PBE-GGA, relaxed)" space_group="No. 216" e_form_mev_per_atom=229 pbc="T T T"
Pu 4.608 4.435 3.136
Pu 7.682 4.435 3.136
Pu 6.145 1.773 3.136
Pu 6.145 3.548 0.627
Tb 3.073 1.774 1.254
Lu 0.000 0.000 0.000

=====

Record 6
8
Lattice="4.278 -0.231 0.000 -1.397 5.254 0.000 0.000 0.000 6.901" Properties=species:S:1:pos:R:3 comment="CeTcGe2 (PBE-GGA, relaxed)" space_group="No. 11" e_form_mev_per_atom=-474 pbc="T T T"
Ge 0.732 3.699 3.120
Ge 0.732 3.699 0.331
Ge 2.149 1.325 6.571
Ge 2.149 1.325 3.781
Tc 0.006 2.050 5.176
Tc 2.875 2.973 1.725
Ce -0.010 0.806 1.725
Ce 2.891 4.217 5.176

=====

Record 7
5
Lattice="4.467 0.000 0.000 0.000 4.467 0.000 0.000 0.000 4.984" Properties=species:S:1:pos:R:3 comment="MnFePCl2 (PBE-GGA, relaxed)" space_group="No. 123" e_form_raw_mev_per_atom=283 pbc="T T T"
Cl 0.000 2.233 0.000
Cl 2.233 0.000 0.000
Fe 0.000 0.000 0.000
Mn 2.233 2.233 2.492
P 0.000 0.000 2.492

=====

Record 8
7
Lattice="-1.820 0.019 -2.809 -2.746 -0.722 1.774 0.750 8.758 1.568" Properties=species:S:1:pos:R:3 comment="CuSi2Ni4 (PBE-GGA, relaxed)" space_group="No. 139" e_form_raw_mev_per_atom=-17 pbc="T T T"
Si -2.747 2.193 -0.200
Si -1.069 5.862 0.732
Ni -1.676 4.213 -0.880
Ni -0.417 2.289 0.286
Ni -2.139 3.842 1.412
Ni -3.398 5.765 0.246
Cu 0.000 0.000 0.000

=====

Record 9
28
Lattice="5.487 0.000 0.000 0.000 12.119 0.000 0.000 0.000 13.100" Properties=species:S:1:pos:R:3 comment="Tb2Ho4Sc (PBE-GGA, relaxed)" space_group="No. 64" e_form_mev_per_atom=181 pbc="T T T"
Tb 2.744 0.839 4.519
Tb 0.001 5.220 8.581
Tb 2.742 11.280 8.581
Tb 2.744 5.220 11.069
Tb 0.001 0.839 2.031
Tb 2.742 6.899 2.031
Tb 5.486 11.280 11.069
Tb 5.486 6.899 4.519
Ho 2.739 7.826 8.902
Ho 0.004 3.081 5.570
Ho 2.748 3.081 0.980
Ho 5.482 10.353 4.197
Ho 2.748 4.293 4.197
Ho 2.748 1.766 10.747
Ho 5.482 7.826 10.747
Ho 2.739 9.140 5.570
Ho 5.482 9.140 0.980
Ho 0.005 4.293 2.353
Ho 0.004 2.979 12.119
Ho 2.739 10.353 2.353
Ho 2.739 9.038 12.119
Ho 2.748 2.979 7.530
Ho 5.482 9.038 7.530
Ho 0.005 1.766 8.902
Sc 0.000 6.059 0.000
Sc 2.743 0.000 0.000
Sc 2.743 6.059 6.550
Sc 0.000 0.000 6.550

=====

Record 10
6
Lattice="0.000 3.689 3.689 3.689 0.000 3.689 3.689 3.689 0.000" Properties=species:S:1:pos:R:3 comment="CrRuPt4 (PBE-GGA, relaxed)" space_group="No. 216" e_form_mev_per_atom=257 pbc="T T T"
Pt 4.611 2.767 4.611
Pt 2.767 4.611 4.611
Pt 4.611 4.611 2.767
Pt 2.767 2.767 2.767
Cr 0.000 0.000 0.000
Ru 5.534 5.534 5.534

=====

Record 11
11
Lattice="-0.277 -4.912 4.202 8.483 -1.522 -3.154 -0.108 6.868 6.087" Properties=species:S:1:pos:R:3 comment="K8SnAu2 (PBE-GGA, relaxed)" space_group="No. 12" e_form_mev_per_atom=-146 pbc="T T T"
K 7.665 -1.218 5.093
K 0.433 1.651 2.042
K 5.254 1.877 3.180
K 6.287 -1.969 1.160
K 2.844 -1.444 3.956
K 1.811 2.402 5.975
K 2.604 -0.469 -0.292
K 5.494 0.902 7.428
Sn -0.139 -2.456 2.101
Au 5.737 1.160 -0.199
Au 2.639 4.185 3.132

=====

Record 12
5
Lattice="-0.214 3.917 -3.406 -5.070 0.574 0.980 1.115 3.364 3.799" Properties=species:S:1:pos:R:3 comment="ScCoI3 (PBE-GGA, relaxed)" space_group="No. 221" e_form_raw_mev_per_atom=160 pbc="T T T"
Co 0.000 0.000 0.000
I 0.558 1.682 1.899
I -0.107 1.959 -1.703
I -2.535 0.287 0.490
Sc -2.084 3.928 0.686